[1]
BeV3H, relaxed, DFT PBE; excess energy over the best structure of this formula in the dataset = 16.9 meV per atom; total DFT energy (no corrections) = -34.7 eV/cell; theoretical density = 5.2 g cm⁻³
1.0
3.7237 0.0000 0.0000
0.0000 3.7237 0.0000
0.0000 0.0000 3.7237
H V Be
1 3 1
Cartesian
0.0000 0.0000 0.0000
0.0000 0.0000 1.8619
1.8619 0.0000 0.0000
0.0000 1.8619 0.0000
1.8619 1.8619 1.8619



[2]
CeGdZnCu, relaxed, DFT PBE; energy of formation from the pure elements = -15.8 kJ per mole of atoms; total DFT energy (no corrections) = -26.0 eV/cell; theoretical density = 7.8 g cm⁻³
1.0
-1.3914 3.3002 3.5667
-3.8967 3.1133 -0.8193
-4.3383 -0.6672 2.5065
Zn Gd Cu Ce
1 1 1 1
Cartesian
-7.2198 4.3097 3.9405
-4.8132 2.8731 2.6270
-2.4066 1.4366 1.3135
0.0000 0.0000 0.0000



[3]
BaNa2Tl2, relaxed, DFT PBE; excess energy over the best structure of this formula in the dataset = 18.4 meV per atom; energy of formation from the pure elements = -17.0 kJ per mole of atoms; total DFT energy (no corrections) = -10.2 eV/cell; theoretical density = 5.5 g cm⁻³
1.0
4.7414 0.0000 0.0000
0.0000 4.7414 0.0000
2.3707 2.3707 7.8975
Tl Na Ba
2 2 1
Cartesian
2.3707 2.3707 1.6543
4.7414 4.7414 6.2432
4.7414 2.3707 3.9488
2.3707 4.7414 3.9488
0.0000 0.0000 0.0000



[4]
Zr6NbTl3, relaxed, DFT PBE; energy of formation from the pure elements = 14.1 kJ per mole of atoms; total DFT energy (no corrections) = -67.0 eV/cell; theoretical density = 9.0 g cm⁻³
1.0
-7.3033 -3.2879 0.5286
0.5942 -5.4379 -2.5471
0.8559 -5.1134 3.0874
Zr Nb Tl
6 1 3
Cartesian
-6.1216 -6.9022 0.6818
-3.9805 -9.0553 2.1225
-4.1114 -9.2175 -0.6944
-1.8728 -4.7839 -1.0537
0.2684 -6.9369 0.3870
-1.7419 -4.6217 1.7632
-2.9266 -6.9196 0.5344
-3.6893 -11.6798 0.8440
0.0000 0.0000 0.0000
-2.1640 -2.1594 0.2249



[5]
Na2Sr2UO6, relaxed, DFT PBE; ΔE_f (raw) = -2831 kJ/mol of formula units; total DFT energy (no corrections) = -76.4 eV/cell; theoretical density = 4.7 g cm⁻³
1.0
-0.4655 3.6488 -5.0462
2.6869 -5.6090 -0.5601
-5.6743 -1.8006 0.2716
U O Na Sr
1 6 2 2
Cartesian
-2.8372 -0.9003 0.1358
-2.2662 -2.8046 -4.1952
-3.9977 -0.2595 -1.5203
-1.1867 -0.9562 -1.1394
-3.0708 -2.9816 -0.2012
0.5447 -3.5014 -3.8144
-0.3822 -0.7792 -5.1335
-0.0040 2.2935 -4.3895
2.2254 -4.2538 -1.2168
-2.2397 -0.3732 -3.3977
-1.2132 -3.3876 -1.9370



[6]
Y4CdAg2, relaxed, DFT PBE; excess energy over the best structure of this formula in the dataset = 142.6 meV per atom; energy of formation from the pure elements = -3.5 kJ per mole of atoms; total DFT energy (no corrections) = -32.7 eV/cell; theoretical density = 5.6 g cm⁻³
1.0
-0.4467 0.5531 -4.9671
-4.4783 -0.5566 -2.1937
-3.3416 9.0854 -1.2222
Y Ag Cd
4 2 1
Cartesian
-5.9748 5.6076 -6.4415
-3.5182 1.2530 -4.6129
-4.7484 7.8288 -3.7700
-2.2919 3.4743 -1.9414
-5.4306 2.6992 -6.8143
-2.8360 6.3827 -1.5686
0.0000 0.0000 0.0000



[7]
Fe2CoHg, relaxed, DFT PBE; energy of formation from the pure elements = 94.1 kJ per mole of atoms; total DFT energy (no corrections) = -40.9 eV/cell; theoretical density = 11.0 g cm⁻³
1.0
6.6926 0.0000 0.0000
0.0000 6.6926 0.0000
3.3463 3.3463 2.5113
Hg Co Fe
2 2 4
Cartesian
0.0000 0.0000 0.0000
6.6926 3.3463 1.2557
3.3463 3.3463 0.0000
3.3463 6.6926 1.2557
5.0194 5.3895 1.8835
8.3657 7.9956 1.8835
2.0433 5.0194 0.6278
4.6493 1.6731 0.6278



[8]
CrInBiPt2, relaxed, DFT PBE; energy of formation from the pure elements = 79.2 kJ per mole of atoms; total DFT energy (no corrections) = -24.2 eV/cell; theoretical density = 10.2 g cm⁻³
1.0
5.0053 0.0000 0.0000
0.0000 4.9892 0.0000
0.0000 0.0000 5.0053
Pt Bi Cr In
2 1 1 1
Cartesian
0.0000 0.0000 2.5027
2.5027 0.0000 0.0000
2.5027 2.4946 2.5027
0.0000 2.4946 0.0000
0.0000 0.0000 0.0000